Record 1
# Sm2DySc6 | the Alexandria database | GGA-PBE | relaxed
data_Sm2DySc6
_chemical_formula_sum 'Sm4 Dy2 Sc12'
_space_group_name_H-M_alt 'I m m m'
_space_group_IT_number 71
_space_group_name_Hall '-I 2 2'
_cell_length_a 3.298
_cell_length_b 9.736
_cell_length_c 15.331
_cell_angle_alpha 90.00
_cell_angle_beta 90.00
_cell_angle_gamma 90.00
loop_
_atom_site_label
_atom_site_type_symbol
_atom_site_fract_x
_atom_site_fract_y
_atom_site_fract_z
Sm1 Sm 0.000 0.000 0.156
Dy1 Dy 0.000 0.500 0.000
Sc1 Sc 0.000 0.309 0.500
Sc2 Sc 0.000 0.333 0.178
# DOS(E_F)	33.71	states/eV per cell
# calculated density	4.95	g/cm3
# total moment	0.00	Bohr magnetons per cell
# calculated volume	27.3	A^3/atom
# energy of formation	13	kJ per mole of atoms


Record 2
# Sm5Dy12Sc2 | the Alexandria database | GGA-PBE | relaxed
data_Sm5Dy12Sc2
_chemical_formula_sum 'Sm10 Dy24 Sc4'
_space_group_name_H-M_alt 'C 1 2/m 1'
_space_group_IT_number 12
_space_group_name_Hall '-C 2y'
_cell_length_a 18.591
_cell_length_b 7.239
_cell_length_c 9.875
_cell_angle_alpha 90.00
_cell_angle_beta 113.62
_cell_angle_gamma 90.00
loop_
_atom_site_label
_atom_site_type_symbol
_atom_site_fract_x
_atom_site_fract_y
_atom_site_fract_z
Sm1 Sm 0.000 0.000 0.000
Sm2 Sm 0.180 0.500 0.702
Sm3 Sm 0.184 0.000 0.687
Dy1 Dy 0.003 0.500 0.815
Dy2 Dy 0.012 0.000 0.712
Dy3 Dy 0.158 0.249 0.359
Dy4 Dy 0.162 0.246 0.003
Sc1 Sc 0.000 0.304 0.500
# DOS(E_F)	63.47	states/eV per cell
# calculated density	7.61	g/cm3
# total moment	0.00	Bohr magnetons per cell
# calculated volume	32.0	A^3/atom
# energy of formation	17	kJ per mole of atoms


Record 3
# SmDy3Sc7 | the Alexandria database | GGA-PBE | relaxed
data_SmDy3Sc7
_chemical_formula_sum 'Sm2 Dy6 Sc14'
_space_group_name_H-M_alt 'C 1 2/m 1'
_space_group_IT_number 12
_space_group_name_Hall '-C 2y'
_cell_length_a 12.032
_cell_length_b 10.499
_cell_length_c 5.449
_cell_angle_alpha 90.00
_cell_angle_beta 116.84
_cell_angle_gamma 90.00
loop_
_atom_site_label
_atom_site_type_symbol
_atom_site_fract_x
_atom_site_fract_y
_atom_site_fract_z
Sm1 Sm 0.000 0.000 0.000
Dy1 Dy 0.000 0.290 0.500
Dy2 Dy 0.000 0.500 0.000
Sc1 Sc 0.000 0.000 0.500
Sc2 Sc 0.207 0.500 0.706
Sc3 Sc 0.217 0.310 0.217
# DOS(E_F)	35.05	states/eV per cell
# calculated density	5.15	g/cm3
# total moment	0.00	Bohr magnetons per cell
# calculated volume	27.9	A^3/atom
# energy of formation	28	kJ per mole of atoms


Record 4
# Sm5Dy4Sc2 | the Alexandria database | GGA-PBE | relaxed
data_Sm5Dy4Sc2
_chemical_formula_sum 'Sm5 Dy4 Sc2'
_space_group_name_H-M_alt 'P -1'
_space_group_IT_number 2
_space_group_name_Hall '-P 1'
_cell_length_a 3.628
_cell_length_b 9.115
_cell_length_c 11.197
_cell_angle_alpha 71.67
_cell_angle_beta 80.70
_cell_angle_gamma 90.00
loop_
_atom_site_label
_atom_site_type_symbol
_atom_site_fract_x
_atom_site_fract_y
_atom_site_fract_z
Sm1 Sm 0.000 0.000 0.000
Sm2 Sm 0.167 0.932 0.666
Sm3 Sm 0.270 0.347 0.460
Dy1 Dy 0.372 0.755 0.256
Dy2 Dy 0.479 0.298 0.043
Sc1 Sc 0.098 0.526 0.803
# DOS(E_F)	15.78	states/eV per cell
# calculated density	7.15	g/cm3
# total moment	0.00	Bohr magnetons per cell
# energy above the most stable polymorph in this dataset	0	meV/atom
# calculated volume	31.5	A^3/atom
# energy of formation	5	kJ per mole of atoms


Record 5
# Sm5DySc3 | the Alexandria database | GGA-PBE | relaxed
data_Sm5DySc3
_chemical_formula_sum 'Sm20 Dy4 Sc12'
_space_group_name_H-M_alt 'C 1 2/m 1'
_space_group_IT_number 12
_space_group_name_Hall '-C 2y'
_cell_length_a 14.676
_cell_length_b 11.314
_cell_length_c 9.601
_cell_angle_alpha 90.00
_cell_angle_beta 129.59
_cell_angle_gamma 90.00
loop_
_atom_site_label
_atom_site_type_symbol
_atom_site_fract_x
_atom_site_fract_y
_atom_site_fract_z
Sm1 Sm 0.000 0.247 0.000
Sm2 Sm 0.136 0.247 0.739
Sm3 Sm 0.228 0.000 0.237
Sm4 Sm 0.247 0.000 0.588
Dy1 Dy 0.223 0.500 0.043
Sc1 Sc 0.000 0.000 0.500
Sc2 Sc 0.000 0.500 0.000
Sc3 Sc 0.008 0.000 0.823
Sc4 Sc 0.015 0.500 0.356
# DOS(E_F)	55.09	states/eV per cell
# calculated density	5.67	g/cm3
# total moment	0.00	Bohr magnetons per cell
# calculated volume	34.1	A^3/atom
# energy of formation	43	kJ per mole of atoms


Record 6
# Sm2DySc4 | the Alexandria database | GGA-PBE | relaxed
data_Sm2DySc4
_chemical_formula_sum 'Sm4 Dy2 Sc8'
_space_group_name_H-M_alt 'C m m m'
_space_group_IT_number 65
_space_group_name_Hall '-C 2 2'
_cell_length_a 10.724
_cell_length_b 11.075
_cell_length_c 3.379
_cell_angle_alpha 90.00
_cell_angle_beta 90.00
_cell_angle_gamma 90.00
loop_
_atom_site_label
_atom_site_type_symbol
_atom_site_fract_x
_atom_site_fract_y
_atom_site_fract_z
Sm1 Sm 0.195 0.000 0.000
Dy1 Dy 0.000 0.500 0.500
Sc1 Sc 0.000 0.230 0.000
Sc2 Sc 0.250 0.250 0.500
# DOS(E_F)	21.87	states/eV per cell
# calculated density	5.32	g/cm3
# total moment	0.00	Bohr magnetons per cell
# energy above the most stable polymorph in this dataset	0	meV/atom
# calculated volume	28.7	A^3/atom
# energy of formation	17	kJ per mole of atoms


Record 7
# SmDy3Sc3 | the Alexandria database | GGA-PBE | relaxed
data_SmDy3Sc3
_chemical_formula_sum 'Sm2 Dy6 Sc6'
_space_group_name_H-M_alt 'P 63/m'
_space_group_IT_number 176
_space_group_name_Hall '-P 6c'
_cell_length_a 9.2426
_cell_length_b 9.2426
_cell_length_c 5.4670
_cell_angle_alpha 90.00
_cell_angle_beta 90.00
_cell_angle_gamma 120.00
loop_
_atom_site_label
_atom_site_type_symbol
_atom_site_fract_x
_atom_site_fract_y
_atom_site_fract_z
Sm1 Sm 0.3333 0.6667 0.2500
Dy1 Dy 0.0487 0.8047 0.2500
Sc1 Sc 0.0965 0.6148 0.7500
# DOS(E_F)	28.37	states/eV per cell
# calculated density	6.35	g/cm3
# total moment	0.02	Bohr magnetons per cell
# energy above the most stable polymorph in this dataset	0	meV/atom
# calculated volume	28.9	A^3/atom
# energy of formation	3	kJ per mole of atoms


Record 8
# Sm3Dy5Sc | the Alexandria database | GGA-PBE | relaxed
data_Sm3Dy5Sc
_chemical_formula_sum 'Sm12 Dy20 Sc4'
_space_group_name_H-M_alt 'C 1 2/m 1'
_space_group_IT_number 12
_space_group_name_Hall '-C 2y'
_cell_length_a 16.725
_cell_length_b 7.915
_cell_length_c 12.425
_cell_angle_alpha 90.00
_cell_angle_beta 132.11
_cell_angle_gamma 90.00
loop_
_atom_site_label
_atom_site_type_symbol
_atom_site_fract_x
_atom_site_fract_y
_atom_site_fract_z
Sm1 Sm 0.000 0.000 0.000
Sm2 Sm 0.000 0.000 0.500
Sm3 Sm 0.192 0.500 0.351
Sm4 Sm 0.208 0.000 0.080
Dy1 Dy 0.000 0.327 0.000
Dy2 Dy 0.060 0.291 0.778
Dy3 Dy 0.127 0.500 0.563
Dy4 Dy 0.234 0.500 0.120
Sc1 Sc 0.114 0.000 0.311
# DOS(E_F)	51.23	states/eV per cell
# calculated density	7.12	g/cm3
# total moment	0.00	Bohr magnetons per cell
# calculated volume	33.9	A^3/atom
# energy of formation	40	kJ per mole of atoms


Q: The lowest calculated density belongs to which entry?
A: Sm2DySc6


Q: Among the records above, which one has the lowest energy of formation?
A: SmDy3Sc3


Q: Among the records above, which one has the highest total moment?
A: SmDy3Sc3